Below is an optimized crystal structure of LaVH2I4O15, with properties calculated at the GGA+U level.

Cell lengths 7.200, 7.243, 14.396 Å; angles 90.00, 90.00, 114.91 degrees
Positions (direct):
O 0.925 0.209 0.291
O 0.718 0.664 0.947
I 0.262 0.709 0.502
O 0.782 0.739 0.539
O 0.258 0.964 0.507
O 0.488 0.093 0.158
I 0.734 0.874 0.702
V 0.568 0.782 0.925
O 0.218 0.261 0.039
O 0.384 0.629 0.852
O 0.616 0.371 0.352
O 0.768 0.793 0.316
I 0.853 0.024 0.386
O 0.919 0.392 0.098
I 0.469 0.254 0.660
H 0.913 0.732 0.554
I 0.531 0.746 0.160
V 0.432 0.218 0.425
H 0.692 0.592 0.530
I 0.266 0.126 0.202
O 0.404 0.683 0.042
O 0.385 0.462 0.660
O 0.615 0.538 0.160
O 0.081 0.608 0.598
O 0.744 0.967 0.826
O 0.401 0.998 0.919
O 0.512 0.907 0.658
O 0.256 0.033 0.326
O 0.939 0.110 0.662
I 0.147 0.976 0.886
O 0.078 0.611 0.408
O 0.075 0.791 0.791
O 0.061 0.890 0.162
O 0.297 0.623 0.225
O 0.599 0.002 0.419
O 0.596 0.317 0.542
I 0.738 0.291 0.002
O 0.232 0.207 0.816
H 0.087 0.268 0.054
La 0.079 0.450 0.755
La 0.921 0.550 0.255
O 0.703 0.377 0.725
O 0.742 0.036 0.007
O 0.922 0.389 0.908
H 0.308 0.408 0.030
O 0.282 0.336 0.447

Calculated volume: 14.80 Å³ per atom
Space-group type: P2_1
Energy: -245.8 eV for the cell shown